Below is a relaxed Er5Tl2N crystal, with properties calculated at the PBE level.

Summary:
DFT total energy ... -4.75 eV per atom
DOS(E_F) ... 35.43 states/eV/cell
Calculated density ... 8.8 Mg/m³

a b c (Å): 3.6908 17.6638 14.6249
angles (deg): 90.00 90.00 90.00
Space group Cmcm (No. 63)
Inequivalent atoms, fractional coordinates:
Er  0.0000  0.1101  0.1222
Er  0.0000  0.2549  0.7500
Er  0.0000  0.3088  0.0548
Tl  0.0000  0.0660  0.6454
N  0.0000  0.1751  0.2500


Below is a relaxed La7IrBr12 crystal, with properties calculated at the PBE level.

Summary:
DFT total energy ... -4.92 eV per atom
DOS(E_F) ... 35.25 states/eV/cell
Calculated density ... 4.5 Mg/m³

a b c (Å): 15.5777 15.5777 11.1108
angles (deg): 90.00 90.00 120.00
Space group R-3 (No. 148, hexagonal axes)
Inequivalent atoms, fractional coordinates:
La  0.0000  0.0000  0.0000
La  0.0381  0.1661  0.3549
Ir  0.0000  0.0000  0.5000
Br  0.0231  0.5848  0.1531
Br  0.0407  0.1669  0.8346


Below is a relaxed Ni3Bi4 crystal, with properties calculated at the PBE level.

Summary:
DFT total energy ... -4.67 eV per atom
DOS(E_F) ... 8.23 states/eV/cell
Energy of formation from the pure elements ... 21 meV per atom
Calculated density ... 11.2 Mg/m³

a b c (Å): 13.0016 4.1992 5.7539
angles (deg): 90.00 106.98 90.00
Space group C2/m (No. 12)
Inequivalent atoms, fractional coordinates:
Ni  0.0000  0.0000  0.0000
Ni  0.2248  0.0000  0.3337
Bi  0.0777  0.5000  0.3056
Bi  0.1689  0.0000  0.8142


Below is a relaxed Tl16Hg12Se crystal, with properties calculated at the PBE level.

Summary:
DFT total energy ... -1.57 eV per atom
DOS(E_F) ... 27.00 states/eV/cell
Calculated density ... 11.2 Mg/m³

a b c (Å): 11.8894 15.5833 10.7540
angles (deg): 90.00 120.74 90.00
Space group Cm (No. 8)
Inequivalent atoms, fractional coordinates:
Tl  0.0000  0.0000  0.0000
Tl  0.0025  0.3104  0.3528
Tl  0.0819  0.3395  0.0807
Tl  0.1570  0.5000  0.3332
Tl  0.1829  0.1346  0.2789
Tl  0.1845  0.1841  0.6636
Tl  0.1964  0.5000  0.9539
Tl  0.3200  0.2984  0.9817
Tl  0.4624  0.1223  0.6512
Tl  0.4909  0.5000  0.6678
Hg  0.0214  0.1907  0.8487
Hg  0.1660  0.0000  0.5110
Hg  0.2367  0.4018  0.6758
Hg  0.2897  0.0978  0.0401
Hg  0.3334  0.3063  0.4847
Hg  0.3861  0.0000  0.8573
Hg  0.4050  0.4002  0.2809
Se  0.4143  0.0000  0.3900


Below is a relaxed B4C crystal, with properties calculated at the PBE level.

Summary:
DFT total energy ... -7.19 eV per atom
Excess energy over the best structure of this formula in the dataset ... 98 meV/atom
DOS(E_F) ... 7.21 states/eV/cell
Energy of formation from the pure elements ... -4 meV per atom
Calculated density ... 2.4 Mg/m³

a b c (Å): 5.1134 5.1140 22.3788
angles (deg): 92.88 94.81 114.34
Space group P1 (No. 1)
Inequivalent atoms, fractional coordinates:
B  0.0000  0.0000  0.0000
B  0.0050  0.0149  0.5030
B  0.0047  0.9279  0.2650
B  0.0406  0.6815  0.7253
B  0.0585  0.6465  0.2257
B  0.0587  0.7331  0.4643
B  0.0647  0.0633  0.1311
B  0.1010  0.6842  0.3060
B  0.1091  0.8809  0.6603
B  0.1149  0.2129  0.6616
B  0.1657  0.3755  0.0232
B  0.1862  0.4091  0.5971
B  0.1908  0.3404  0.8620
B  0.2001  0.9977  0.1979
B  0.2084  0.4104  0.1038
B  0.2426  0.0568  0.8228
B  0.2508  0.4778  0.7287
B  0.2653  0.0620  0.3291
B  0.2879  0.0942  0.9030
B  0.3357  0.2589  0.2652
B  0.3426  0.5921  0.2662
B  0.3509  0.7865  0.6203
B  0.3841  0.4077  0.7952
B  0.3910  0.7396  0.4622
B  0.3923  0.8270  0.7008
B  0.4077  0.7905  0.2012
B  0.4464  0.4579  0.4227
B  0.4471  0.5451  0.6615
B  0.4522  0.4740  0.9264
B  0.4861  0.4960  0.5030
B  0.5272  0.9891  0.8628
B  0.5773  0.1658  0.2257
B  0.5785  0.1385  0.0636
B  0.5886  0.8040  0.3945
B  0.5926  0.2003  0.7983
B  0.6201  0.2031  0.3060
B  0.6434  0.8591  0.0234
B  0.6525  0.8720  0.5264
B  0.6621  0.2652  0.9291
B  0.6722  0.9217  0.2660
B  0.6863  0.8939  0.1037
B  0.7207  0.0694  0.4622
B  0.7293  0.4036  0.4643
B  0.7588  0.5786  0.8227
B  0.7775  0.5492  0.6601
B  0.7885  0.2070  0.9973
B  0.8005  0.5976  0.4000
B  0.8045  0.6167  0.9032
B  0.8321  0.2676  0.6203
B  0.8536  0.2688  0.1281
B  0.8575  0.3332  0.8629
B  0.8718  0.3073  0.7008
B  0.9226  0.4689  0.0635
B  0.9307  0.8030  0.0643
B  0.9629  0.9744  0.4227
B  0.9756  0.6148  0.5923
C  0.0556  0.8852  0.9389
C  0.2039  0.1830  0.3888
C  0.2476  0.2885  0.5381
C  0.2500  0.1337  0.0641
C  0.3986  0.5908  0.9875
C  0.4544  0.6812  0.1390
C  0.4663  0.8611  0.3293
C  0.5220  0.6600  0.8623
C  0.5943  0.9908  0.5868
C  0.6348  0.0987  0.7351
C  0.8150  0.3747  0.1912
C  0.8525  0.6729  0.5273
C  0.8683  0.4716  0.3417
C  0.9958  0.7885  0.7876


Below is a relaxed Pm6Ho3Er2Mg crystal, with properties calculated at the PBE level.

Summary:
DFT total energy ... -4.39 eV per atom
DOS(E_F) ... 25.32 states/eV/cell
Energy of formation from the pure elements ... 23 meV per atom
Calculated density ... 7.5 Mg/m³

a b c (Å): 6.1944 10.7337 11.7078
angles (deg): 90.00 100.19 90.00
Space group C2/m (No. 12)
Inequivalent atoms, fractional coordinates:
Pm  0.2493  0.0000  0.2492
Pm  0.2487  0.3336  0.2481
Ho  0.0000  0.0000  0.5000
Ho  0.0000  0.3335  0.5000
Er  0.0000  0.1665  0.0000
Mg  0.0000  0.5000  0.0000


DOS(E_F) of number 5 (B4C)?
7.21 states/eV/cell